Record 1
ZnMo2Ru after structural relaxation. Source: Alexandria via LeMat-Bulk, functional PBE.

```
4
Lattice="-3.673 1.706 1.774 -1.389 -2.318 -0.646 1.009 -2.206 4.210" Properties=species:S:1:pos:R:3 pbc="T T T"
Mo 0.864 -2.313 4.014
Mo -1.796 -0.182 1.966
Ru -0.381 -2.471 1.586
Zn -1.921 -2.322 3.766
```

## Properties
Magnetization in μB per atom: 0.00
Space group: Pm, No. 6



Record 2
ZnMo3Ru after structural relaxation. Source: Alexandria via LeMat-Bulk, functional PBE.

```
5
Lattice="-0.334 -4.445 -0.491 4.082 -0.102 -1.855 1.828 -0.585 4.053" Properties=species:S:1:pos:R:3 pbc="T T T"
Ru 2.788 -2.566 0.853
Mo 2.041 -0.051 -0.928
Mo 0.914 -0.293 2.027
Mo -0.167 -2.223 -0.246
Zn 0.000 0.000 0.000
```

## Properties
Magnetization in μB per atom: 0.00
Polymorph energy (0 for the lowest one) in eV per atom: 0.224
Space group: Pm-3m, No. 221



Record 3
Zn2MoRu after structural relaxation. Source: Alexandria via LeMat-Bulk, functional PBE.

```
4
Lattice="-2.319 -0.609 1.414 2.176 -2.257 2.597 0.731 4.132 2.979" Properties=species:S:1:pos:R:3 pbc="T T T"
Mo 0.111 -0.400 2.750
Ru 0.476 1.666 4.239
Zn 0.726 4.108 2.961
Zn 0.370 2.091 1.507
```

## Properties
Magnetization in μB per atom: 0.00
Polymorph energy (0 for the lowest one) in eV per atom: 0.206
Space group: Pmmm, No. 47



Record 4
Zn2MoRu after structural relaxation. Source: Alexandria via LeMat-Bulk, functional PBE.

```
4
Lattice="-0.102 3.339 2.780 -2.713 -2.182 2.602 3.794 -1.756 -1.190" Properties=species:S:1:pos:R:3 pbc="T T T"
Mo -1.408 0.579 2.691
Ru 1.142 1.081 2.141
Zn 0.000 0.000 0.000
Zn -0.163 -1.679 2.052
```

## Properties
Magnetization in μB per atom: 0.00
Polymorph energy (0 for the lowest one) in eV per atom: 0.051
Space group: I-4m2, No. 119



Record 5
ZrMoRu2 after structural relaxation. Source: Alexandria via LeMat-Bulk, functional PBE.

```
4
Lattice="0.000 3.194 3.194 3.194 0.000 3.194 3.194 3.194 0.000" Properties=species:S:1:pos:R:3 pbc="T T T"
Ru 1.597 1.597 1.597
Ru 4.791 4.791 4.791
Mo 3.194 3.194 3.194
Zr 0.000 0.000 0.000
```

## Properties
Magnetization in μB per atom: 0.20
Polymorph energy (0 for the lowest one) in eV per atom: 0.036
Space group: Fm-3m, No. 225



Record 6
Zr3MoRu after structural relaxation. Source: Alexandria via LeMat-Bulk, functional PBE.

```
5
Lattice="4.945 0.000 0.000 0.000 4.945 0.000 0.000 0.000 4.945" Properties=species:S:1:pos:R:3 pbc="T T T"
Ru 0.000 0.000 0.000
Mo 2.472 2.472 2.472
Zr 0.000 2.472 0.000
Zr 0.000 0.000 2.472
Zr 2.472 0.000 0.000
```

## Properties
Magnetization in μB per atom: 0.30
Polymorph energy (0 for the lowest one) in eV per atom: 0.000
Space group: Pm-3m, No. 221



ΔH_f (0 K) list, top to bottom, in eV/atom: 0.091, 1.816, 0.179, 0.023, -0.082, 0.762